[1]
The following is a PBE calculation of a geometry-optimized BaMoP2 structure, from the Alexandria database.

For the energy of formation from the pure elements, the calculation gives 102 kJ/mol of formula units. The value obtained for the electronic total energy is -5.6300 eV per atom. The calculation puts the polymorph energy (0 for the lowest one) at 0.864 eV/atom.

Cell: 4.8828 4.8828 4.8828 Å, 60.00 60.00 60.00°
Fractional positions:
Ba (0.0000, 0.0000, 0.0000)
Mo (0.5000, 0.5000, 0.5000)
P (0.2500, 0.2500, 0.2500)
P (0.7500, 0.7500, 0.7500)


[2]
The following is a PBE calculation of a geometry-optimized BaMoP2 structure, from the Alexandria database.

For the energy of formation from the pure elements, the calculation gives -196 kJ/mol of formula units. The value obtained for the electronic total energy is -6.4017 eV per atom. The calculation puts the polymorph energy (0 for the lowest one) at 0.093 eV/atom.

Cell: 8.2276 8.2276 8.2276 Å, 140.90 140.90 56.48°
Fractional positions:
Ba (0.3750, 0.6250, 0.7500)
Ba (0.6250, 0.3750, 0.2500)
Mo (0.1250, 0.8750, 0.2500)
Mo (0.8750, 0.1250, 0.7500)
P (0.0000, 0.0000, 0.0000)
P (0.0000, 0.0000, 0.5000)
P (0.0000, 0.5000, 0.0000)
P (0.5000, 0.0000, 0.5000)


[3]
The following is a PBE calculation of a geometry-optimized BaMo2P structure, from the Alexandria database.

For the energy of formation from the pure elements, the calculation gives 429 kJ/mol of formula units. The value obtained for the electronic total energy is -6.1360 eV per atom.

Cell: 4.5357 4.5357 3.5696 Å, 90.00 90.00 90.00°
Fractional positions:
Ba (0.0000, 0.0000, 0.0000)
Mo (0.0000, 0.5000, 0.5000)
Mo (0.5000, 0.0000, 0.5000)
P (0.5000, 0.5000, 0.0000)


[4]
The following is a PBE calculation of a geometry-optimized BaMo2P structure, from the Alexandria database.

For the energy of formation from the pure elements, the calculation gives 7 kJ/mol of formula units. The value obtained for the electronic total energy is -7.2294 eV per atom.

Cell: 3.4445 4.0637 6.8494 Å, 90.00 104.07 90.00°
Fractional positions:
Ba (0.0000, 0.0000, 0.0000)
Mo (0.2655, 0.0000, 0.5155)
Mo (0.7459, 0.5000, 0.4748)
P (0.3735, 0.5000, 0.7379)


[5]
The following is a PBE calculation of a geometry-optimized BaMoP2 structure, from the Alexandria database.

For the energy of formation from the pure elements, the calculation gives -34 kJ/mol of formula units. The value obtained for the electronic total energy is -5.9826 eV per atom. The calculation puts the polymorph energy (0 for the lowest one) at 0.512 eV/atom.

Cell: 3.4973 3.4973 7.7663 Å, 90.00 90.00 90.00°
Fractional positions:
Ba (0.0000, 0.0000, 0.0000)
Mo (0.5000, 0.5000, 0.4634)
P (0.0000, 0.0000, 0.4113)
P (0.5000, 0.5000, 0.7551)


[6]
The following is a PBE calculation of a geometry-optimized BaMoP structure, from the Alexandria database.

For the energy of formation from the pure elements, the calculation gives 184 kJ/mol of formula units. The value obtained for the electronic total energy is -5.4199 eV per atom. The calculation puts the polymorph energy (0 for the lowest one) at 1.241 eV/atom.

Cell: 5.0197 5.0197 5.0197 Å, 60.00 60.00 60.00°
Fractional positions:
Ba (0.0000, 0.0000, 0.0000)
Mo (0.5000, 0.5000, 0.5000)
P (0.7500, 0.7500, 0.7500)


[7]
The following is a PBE calculation of a geometry-optimized BaMo2P structure, from the Alexandria database.

For the energy of formation from the pure elements, the calculation gives 91 kJ/mol of formula units. The value obtained for the electronic total energy is -7.0122 eV per atom.

Cell: 4.9248 3.5308 6.2526 Å, 90.00 113.07 90.00°
Fractional positions:
Ba (0.0000, 0.0000, 0.0000)
Mo (0.3503, 0.5000, 0.6033)
Mo (0.6497, 0.5000, 0.3967)
P (0.0000, 0.0000, 0.5000)


[8]
The following is a PBE calculation of a geometry-optimized BaMoP2 structure, from the Alexandria database.

For the energy of formation from the pure elements, the calculation gives -192 kJ/mol of formula units. The value obtained for the electronic total energy is -6.3907 eV per atom. The calculation puts the polymorph energy (0 for the lowest one) at 0.104 eV/atom.

Cell: 3.6153 3.6153 15.3500 Å, 90.00 90.00 120.00°
Fractional positions:
Ba (0.0000, 0.0000, 0.0000)
Ba (0.0000, 0.0000, 0.5000)
Mo (0.0000, 0.0000, 0.2500)
Mo (0.0000, 0.0000, 0.7500)
P (0.3333, 0.6667, 0.1588)
P (0.3333, 0.6667, 0.3412)
P (0.6667, 0.3333, 0.6588)
P (0.6667, 0.3333, 0.8412)


[9]
The following is a PBE calculation of a geometry-optimized BaMoP2Ru structure, from the Alexandria database.

For the energy of formation from the pure elements, the calculation gives -352 kJ/mol of formula units. The value obtained for the electronic total energy is -7.3005 eV per atom.

Cell: 6.9196 6.9196 6.9196 Å, 145.75 145.75 49.22°
Fractional positions:
Ba (0.0000, 0.0000, 0.0000)
Mo (0.2500, 0.7500, 0.5000)
P (0.3496, 0.3496, 0.0000)
P (0.6504, 0.6504, 0.0000)
Ru (0.7500, 0.2500, 0.5000)


[10]
The following is a PBE calculation of a geometry-optimized BaMoP2S8 structure, from the Alexandria database.

The value obtained for the electronic total energy is -5.2805 eV per atom.

Cell: 9.3572 9.3572 9.3572 Å, 37.26 37.26 37.26°
Fractional positions:
Ba (0.0000, 0.0000, 0.0000)
Mo (0.5000, 0.5000, 0.5000)
P (0.2434, 0.2434, 0.2434)
P (0.7566, 0.7566, 0.7566)
S (0.1140, 0.7826, 0.4417)
S (0.2174, 0.5583, 0.8860)
S (0.3203, 0.3203, 0.3203)
S (0.4417, 0.1140, 0.7826)
S (0.5583, 0.8860, 0.2174)
S (0.6797, 0.6797, 0.6797)
S (0.7826, 0.4417, 0.1140)
S (0.8860, 0.2174, 0.5583)


[11]
The following is a PBE calculation of a geometry-optimized BaMoPS2 structure, from the Alexandria database.

The value obtained for the electronic total energy is -3.8597 eV per atom. The calculation puts the polymorph energy (0 for the lowest one) at 2.201 eV/atom.

Cell: 5.7057 5.7057 5.8460 Å, 90.00 90.00 90.00°
Fractional positions:
Ba (0.0000, 0.0000, 0.0000)
Mo (0.5000, 0.5000, 0.5000)
P (0.0000, 0.0000, 0.5000)
S (0.0000, 0.5000, 0.0000)
S (0.5000, 0.0000, 0.0000)


[12]
The following is a PBE calculation of a geometry-optimized BaMoP2S structure, from the Alexandria database.

The value obtained for the electronic total energy is -6.1154 eV per atom. The calculation puts the polymorph energy (0 for the lowest one) at 0.000 eV/atom.

Cell: 4.7097 4.7097 5.1489 Å, 90.00 90.00 90.00°
Fractional positions:
Ba (0.0000, 0.0000, 0.0000)
Mo (0.5000, 0.5000, 0.5000)
P (0.0000, 0.5000, 0.5000)
P (0.5000, 0.0000, 0.5000)
S (0.5000, 0.5000, 0.0000)


[13]
The following is a PBE calculation of a geometry-optimized BaMoP2S structure, from the Alexandria database.

The value obtained for the electronic total energy is -3.3811 eV per atom. The calculation puts the polymorph energy (0 for the lowest one) at 2.734 eV/atom.

Cell: 5.3147 5.3147 5.4085 Å, 90.00 90.00 90.00°
Fractional positions:
Ba (0.0000, 0.0000, 0.0000)
Mo (0.5000, 0.5000, 0.5000)
P (0.0000, 0.5000, 0.0000)
P (0.5000, 0.0000, 0.0000)
S (0.0000, 0.0000, 0.5000)


[14]
The following is a PBE calculation of a geometry-optimized BaMoPS2 structure, from the Alexandria database.

The value obtained for the electronic total energy is -6.0611 eV per atom. The calculation puts the polymorph energy (0 for the lowest one) at 0.000 eV/atom.

Cell: 4.8810 4.8810 4.7376 Å, 90.00 90.00 90.00°
Fractional positions:
Ba (0.0000, 0.0000, 0.0000)
Mo (0.5000, 0.5000, 0.5000)
P (0.5000, 0.5000, 0.0000)
S (0.0000, 0.5000, 0.5000)
S (0.5000, 0.0000, 0.5000)


[15]
The following is a PBE calculation of a geometry-optimized BaMo2PS structure, from the Alexandria database.

The value obtained for the electronic total energy is -6.0215 eV per atom.

Cell: 4.5224 4.5224 5.5236 Å, 90.00 90.00 90.00°
Fractional positions:
Ba (0.0000, 0.0000, 0.0000)
Mo (0.0000, 0.5000, 0.5000)
Mo (0.5000, 0.0000, 0.5000)
P (0.5000, 0.5000, 0.0000)
S (0.5000, 0.5000, 0.5000)